# CsMoO3 PBE with a Hubbard U optimized geometry
data_CsMoO3
_chemical_formula_sum 'Cs4 Mo4 O12'
_cell_length_a 16.055
_cell_length_b 3.541
_cell_length_c 7.842
_cell_angle_alpha 90.00
_cell_angle_beta 90.10
_cell_angle_gamma 90.00
_symmetry_space_group_name_H-M 'C 1 2/m 1'
_symmetry_Int_Tables_number 12
loop_
_symmetry_equiv_pos_as_xyz
'x,y,z'
'-x,-y,-z'
'-x,y,-z'
'x,-y,z'
'x+1/2,y+1/2,z'
'-x+1/2,-y+1/2,-z'
'-x+1/2,y+1/2,-z'
'x+1/2,-y+1/2,z'
loop_
_atom_site_label
_atom_site_type_symbol
_atom_site_fract_x
_atom_site_fract_y
_atom_site_fract_z
Cs1 Cs 0.172 0.000 0.250
Mo1 Mo 0.081 0.500 0.750
O1 O 0.024 0.000 0.749
O2 O 0.141 0.500 0.942
O3 O 0.142 0.500 0.558
# - total energy (eV/atom) = -6.152
# - magnetization (μB/f.u.) = 1.0
# - volume (Å³/atom) = 22.3